First-principles (PBE-GGA) data for a geometry-optimized Nd8CdNi2 structure, as listed in the Alexandria database.

ΔE_f: -0.076 eV/atom

a b c (Å): 8.6786 13.8500 5.6123
angles (deg): 90.00 104.43 90.00
Space group C2/m (No. 12)
One atom of each set of equivalent atoms:
Nd 0.0000 0.2476 0.0000 (multiplicity 4)
Nd 0.1061 0.5000 0.8052 (multiplicity 4)
Nd 0.2075 0.1268 0.5717 (multiplicity 8)
Cd 0.0000 0.0000 0.0000 (multiplicity 2)
Ni 0.0000 0.2980 0.5000 (multiplicity 4)